# 1
LiRe2Os: optimized geometry, GGA-PBE.

Cell: 4.5204 4.5204 4.8899 Å, 94.73 94.73 34.74°
Atoms (fractional coordinates):
Li  0.0000  0.0000  0.0000
Re  0.2441  0.2441  0.7593
Re  0.4947  0.4947  0.4951
Os  0.7542  0.7542  0.2376

Total energy ... -9.252 eV/atom

---

# 2
LiReOs2: optimized geometry, GGA-PBE.

Cell: 2.9809 2.9809 5.9964 Å, 90.00 90.00 90.00°
Atoms (fractional coordinates):
Li  0.0000  0.0000  0.0000
Re  0.0000  0.0000  0.5000
Os  0.5000  0.5000  0.2268
Os  0.5000  0.5000  0.7732

Energy relative to the lowest polymorph listed for this composition ... 120 meV/atom

---

# 3
LiReOs2: optimized geometry, GGA-PBE.

Cell: 4.3138 4.3138 2.9811 Å, 90.00 90.00 90.00°
Atoms (fractional coordinates):
Li  0.0000  0.0000  0.0000
Re  0.5000  0.5000  0.0000
Os  0.0000  0.5000  0.5000
Os  0.5000  0.0000  0.5000

Energy relative to the lowest polymorph listed for this composition ... 214 meV/atom